The following is a GGA-PBEsol calculation of MgCoAs2 after structural relaxation, from Alexandria. Values from VASP.

Its space group is Cmmm (65). For the calculated density, the calculation gives 6.3 Mg/m³. Its density of states at the Fermi level is 0.749 states/eV per atom. The total energy comes out at -4.88 eV/atom. Its crystal system is orthorhombic.

Geometry as Quantum ESPRESSO input:
```
&SYSTEM
  ibrav = 0, nat = 8, ntyp = 3
/
ATOMIC_SPECIES
Mg 24.30 Mg.upf
Co 58.93 Co.upf
As 74.92 As.upf
ATOMIC_POSITIONS crystal
Mg 0.000 0.000 0.000
Mg 0.500 0.500 0.000
Co 0.000 0.500 0.000
Co 0.500 0.000 0.000
As 0.250 0.250 0.500
As 0.250 0.750 0.500
As 0.750 0.250 0.500
As 0.750 0.750 0.500
CELL_PARAMETERS angstrom
5.511 0.000 0.000
0.000 6.892 0.000
0.000 0.000 3.210
```

***

The following is a GGA-PBEsol calculation of KMg2Sb2 after structural relaxation, from Alexandria. Values from VASP.

Its space group is I4/mmm (139). For the calculated density, the calculation gives 3.7 Mg/m³. Its density of states at the Fermi level is 0.582 states/eV per atom. Its crystal system is tetragonal. The uncorrected formation energy comes out at -0.431 eV per atom.

Geometry as Quantum ESPRESSO input:
```
&SYSTEM
  ibrav = 0, nat = 10, ntyp = 3
/
ATOMIC_SPECIES
K 39.10 K.upf
Mg 24.30 Mg.upf
Sb 121.76 Sb.upf
ATOMIC_POSITIONS crystal
K 0.000 0.000 0.000
K 0.500 0.500 0.500
Mg 0.000 0.500 0.250
Mg 0.000 0.500 0.750
Mg 0.500 0.000 0.250
Mg 0.500 0.000 0.750
Sb 0.000 0.000 0.376
Sb 0.000 0.000 0.624
Sb 0.500 0.500 0.124
Sb 0.500 0.500 0.876
CELL_PARAMETERS angstrom
4.764 0.000 0.000
0.000 4.764 0.000
0.000 0.000 13.003
```

***

The following is a GGA-PBEsol calculation of Te2AsWI after structural relaxation, from Alexandria. Values from VASP.

Its space group is P4/mmm (123). For the calculated density, the calculation gives 7.5 Mg/m³. Its density of states at the Fermi level is 1.175 states/eV per atom. Its crystal system is tetragonal. The uncorrected formation energy comes out at 0.889 eV per atom.

Geometry as Quantum ESPRESSO input:
```
&SYSTEM
  ibrav = 0, nat = 5, ntyp = 4
/
ATOMIC_SPECIES
Te 127.60 Te.upf
As 74.92 As.upf
W 183.84 W.upf
I 126.90 I.upf
ATOMIC_POSITIONS crystal
Te 0.000 0.500 0.000
Te 0.500 0.000 0.000
As 0.000 0.000 0.500
W 0.500 0.500 0.000
I 0.500 0.500 0.500
CELL_PARAMETERS angstrom
5.192 0.000 0.000
0.000 5.192 0.000
0.000 0.000 5.282
```

***

The following is a GGA-PBEsol calculation of CoAg3Ru after structural relaxation, from Alexandria. Values from VASP.

Its space group is Pm-3m (221). For the calculated density, the calculation gives 8.5 Mg/m³. Its density of states at the Fermi level is 1.417 states/eV per atom. The total energy comes out at -3.95 eV/atom. Its crystal system is cubic.

Geometry as Quantum ESPRESSO input:
```
&SYSTEM
  ibrav = 0, nat = 5, ntyp = 3
/
ATOMIC_SPECIES
Co 58.93 Co.upf
Ag 107.87 Ag.upf
Ru 101.07 Ru.upf
ATOMIC_POSITIONS crystal
Co 0.000 0.000 0.000
Ag 0.000 0.000 0.500
Ag 0.000 0.500 0.000
Ag 0.500 0.000 0.000
Ru 0.500 0.500 0.500
CELL_PARAMETERS angstrom
4.556 0.000 0.000
0.000 4.556 0.000
0.000 0.000 4.556
```

***

The following is a GGA-PBEsol calculation of MnGeH3 after structural relaxation, from Alexandria. Values from VASP.

Its space group is Pm-3m (221). For the calculated density, the calculation gives 5.5 Mg/m³. Its density of states at the Fermi level is 0.334 states/eV per atom. The total energy comes out at -4.62 eV/atom. Its crystal system is cubic.

Geometry as Quantum ESPRESSO input:
```
&SYSTEM
  ibrav = 0, nat = 5, ntyp = 3
/
ATOMIC_SPECIES
Mn 54.94 Mn.upf
Ge 72.64 Ge.upf
H 1.01 H.upf
ATOMIC_POSITIONS crystal
Mn 0.000 0.000 0.000
Ge 0.500 0.500 0.500
H 0.000 0.000 0.500
H 0.000 0.500 0.000
H 0.500 0.000 0.000
CELL_PARAMETERS angstrom
3.401 0.000 0.000
0.000 3.401 0.000
0.000 0.000 3.401
```

***

The following is a GGA-PBEsol calculation of SrMo2Br after structural relaxation, from Alexandria. Values from VASP.

Its space group is Pm (6). For the calculated density, the calculation gives 6.8 Mg/m³. Its density of states at the Fermi level is 0.643 states/eV per atom. Its crystal system is monoclinic. The uncorrected formation energy comes out at 0.097 eV per atom.

Geometry as Quantum ESPRESSO input:
```
&SYSTEM
  ibrav = 0, nat = 4, ntyp = 3
/
ATOMIC_SPECIES
Sr 87.62 Sr.upf
Mo 95.94 Mo.upf
Br 79.90 Br.upf
ATOMIC_POSITIONS crystal
Sr 0.000 0.000 0.000
Mo 0.362 0.500 0.699
Mo 0.755 0.000 0.560
Br 0.613 0.500 0.270
CELL_PARAMETERS angstrom
3.358 0.000 0.000
0.000 3.266 0.000
-1.388 0.000 7.994
```

***

What did the second record say?
The following is a GGA-PBEsol calculation of KMg2Sb2 after structural relaxation, from Alexandria. Values from VASP.

Its space group is I4/mmm (139). For the calculated density, the calculation gives 3.7 Mg/m³. Its density of states at the Fermi level is 0.582 states/eV per atom. Its crystal system is tetragonal. The uncorrected formation energy comes out at -0.431 eV per atom.

Geometry as Quantum ESPRESSO input:
```
&SYSTEM
  ibrav = 0, nat = 10, ntyp = 3
/
ATOMIC_SPECIES
K 39.10 K.upf
Mg 24.30 Mg.upf
Sb 121.76 Sb.upf
ATOMIC_POSITIONS crystal
K 0.000 0.000 0.000
K 0.500 0.500 0.500
Mg 0.000 0.500 0.250
Mg 0.000 0.500 0.750
Mg 0.500 0.000 0.250
Mg 0.500 0.000 0.750
Sb 0.000 0.000 0.376
Sb 0.000 0.000 0.624
Sb 0.500 0.500 0.124
Sb 0.500 0.500 0.876
CELL_PARAMETERS angstrom
4.764 0.000 0.000
0.000 4.764 0.000
0.000 0.000 13.003
```